w) # La2CdSe

A relaxed structure of La2CdSe (PBE-GGA, Alexandria via LeMat-Bulk).

Calculated values
The density of states at the Fermi level is 11.10 states/eV per cell. The total magnetic moment comes out at 2.10 μB per cell. As for the calculated density: 6.07 Mg/m³. Its symmetry is No. 122.

The structure in POSCAR format:
```
La2CdSe
1.0
-4.1921 4.1921 3.6514
4.1921 -4.1921 3.6514
4.1921 4.1921 -3.6514
La Cd Se
4 2 2
Direct
0.0969 0.6250 0.9719
0.3750 0.3469 0.4719
0.6531 0.1250 0.0281
0.8750 0.9031 0.5281
0.2500 0.7500 0.5000
0.5000 0.5000 0.0000
0.0000 0.0000 0.0000
0.7500 0.2500 0.5000
```

---

x) # La2CdSe

A relaxed structure of La2CdSe (PBE-GGA, Alexandria via LeMat-Bulk).

Calculated values
The density of states at the Fermi level is 5.26 states/eV per cell. The total magnetic moment comes out at 0.00 μB per cell. As for the calculated density: 6.16 Mg/m³. Its symmetry is No. 44.

The structure in POSCAR format:
```
La2CdSe
1.0
-1.9287 1.9904 8.2427
1.9287 -1.9904 8.2427
1.9287 1.9904 -8.2427
La Cd Se
2 1 1
Direct
0.0000 0.0000 0.0000
0.7235 0.2235 0.5000
0.3891 0.3891 0.0000
0.1453 0.6453 0.5000
```

---

Relative stability in kJ/mol of atoms, measured from the most stable structure: w) 14.9; x) 0.0

---

w) # NbPCl2

A relaxed structure of NbPCl2 (PBE-GGA, Alexandria via LeMat-Bulk).

Calculated values
The density of states at the Fermi level is 2.53 states/eV per cell. The total magnetic moment comes out at 0.00 μB per cell. As for the calculated density: 3.43 Mg/m³. Its symmetry is No. 166.

The structure in POSCAR format:
```
NbPCl2
1.0
1.5317 0.8843 11.6162
-1.5317 0.8843 11.6162
0.0000 -1.7686 11.6162
Nb P Cl
1 1 2
Direct
0.0000 0.0000 0.0000
0.5000 0.5000 0.5000
0.3854 0.3854 0.3854
0.6146 0.6146 0.6146
```

---

x) # NbPCl2

A relaxed structure of NbPCl2 (PBE-GGA, Alexandria via LeMat-Bulk).

Calculated values
The density of states at the Fermi level is 0.76 states/eV per cell. The total magnetic moment comes out at 0.00 μB per cell. As for the calculated density: 3.22 Mg/m³. Its symmetry is No. 122.

The structure in POSCAR format:
```
NbPCl2
1.0
-4.5888 4.5888 2.3865
4.5888 -4.5888 2.3865
4.5888 4.5888 -2.3865
Nb P Cl
2 2 4
Direct
0.0000 0.0000 0.0000
0.7500 0.2500 0.5000
0.2500 0.7500 0.5000
0.5000 0.5000 0.0000
0.3750 0.2248 0.3498
0.7752 0.1250 0.1502
0.8750 0.0252 0.6502
0.9748 0.6250 0.8498
```

---

Relative stability in kJ/mol of atoms, measured from the most stable structure: w) 9.8; x) 0.0

---

w) # ZrTc2

A relaxed structure of ZrTc2 (PBE-GGA, Alexandria via LeMat-Bulk).

Calculated values
The density of states at the Fermi level is 5.35 states/eV per cell. The total magnetic moment comes out at 0.00 μB per cell. As for the calculated density: 9.46 Mg/m³. Its symmetry is No. 12.

The structure in POSCAR format:
```
ZrTc2
1.0
5.1383 -1.6015 0.0000
5.1383 1.6015 0.0000
-2.2107 0.0000 6.1254
Zr Tc
2 4
Direct
0.1645 0.1645 0.0961
0.8355 0.8355 0.9039
0.1586 0.1586 0.5796
0.4981 0.4981 0.7394
0.5019 0.5019 0.2606
0.8414 0.8414 0.4204
```

---

x) # ZrTc2

A relaxed structure of ZrTc2 (PBE-GGA, Alexandria via LeMat-Bulk).

Calculated values
The density of states at the Fermi level is 7.82 states/eV per cell. The total magnetic moment comes out at 0.00 μB per cell. As for the calculated density: 8.90 Mg/m³. Its symmetry is No. 189.

The structure in POSCAR format:
```
ZrTc2
1.0
6.5406 0.0000 0.0000
-3.2703 5.6643 0.0000
0.0000 0.0000 4.3374
Zr Tc
3 6
Direct
0.0000 0.0000 0.0000
0.3333 0.6667 0.5000
0.6667 0.3333 0.5000
0.0000 0.2336 0.5000
0.0000 0.5161 0.0000
0.2336 0.0000 0.5000
0.4839 0.4839 0.0000
0.5161 0.0000 0.0000
0.7664 0.7664 0.5000
```

---

Relative stability in kJ/mol of atoms, measured from the most stable structure: w) 0.0; x) 46.6